LaCr3S: PBEsol geometry, SCAN.

Cell and atoms, written as POSCAR:
```
LaCr3S
1.0
4.336 0.000 0.000
0.000 4.336 0.000
0.000 0.000 4.336
Cr S La
3 1 1
Direct
0.000 0.500 0.000
0.000 0.000 0.500
0.500 0.000 0.000
0.000 0.000 0.000
0.500 0.500 0.500
```

Output
Its crystal system is cubic. Its uncorrected formation energy is 0.20 eV per atom. The magnetization is 7.0 μB per formula unit. For the total energy, the calculation gives -21.378 eV/atom.